{
  "formula": "SrDyPd",
  "functional": "PBE-GGA",
  "state": "relaxed",
  "sg": "No. 107",
  "lattice": [[3.6607, 0.0000, 0.0000], [0.0000, 3.6607, 0.0000], [-1.8304, -1.8304, 6.6849]],
  "species": ["Pd", "Dy", "Sr"],
  "fractional_positions": [[0.6866, 0.6866, 0.3731], [0.2878, 0.2878, 0.5757], [0.0256, 0.0256, 0.0512]]
}


{
  "formula": "SrDyPd2",
  "functional": "PBE-GGA",
  "state": "relaxed",
  "sg": "No. 123",
  "lattice": [[3.5808, 0.0000, 0.0000], [0.0000, 3.5808, 0.0000], [0.0000, 0.0000, 7.4275]],
  "species": ["Dy", "Pd", "Pd", "Sr"],
  "fractional_positions": [[0.5000, 0.5000, 0.0000], [0.0000, 0.0000, 0.2087], [0.0000, 0.0000, 0.7913], [0.5000, 0.5000, 0.5000]]
}


{
  "formula": "SrDy2Pd3",
  "functional": "PBE-GGA",
  "state": "relaxed",
  "sg": "No. 123",
  "lattice": [[3.5459, 0.0000, 0.0000], [0.0000, 3.5459, 0.0000], [0.0000, 0.0000, 10.9965]],
  "species": ["Dy", "Dy", "Pd", "Pd", "Pd", "Sr"],
  "fractional_positions": [[0.5000, 0.5000, 0.1609], [0.5000, 0.5000, 0.8391], [0.0000, 0.0000, 0.7017], [0.0000, 0.0000, 0.0000], [0.0000, 0.0000, 0.2983], [0.5000, 0.5000, 0.5000]]
}


{
  "formula": "SrDyPd2",
  "functional": "PBE-GGA",
  "state": "relaxed",
  "sg": "No. 225",
  "lattice": [[5.0888, 0.0000, 0.0000], [2.5444, 4.4070, 0.0000], [2.5444, 1.4690, 4.1550]],
  "species": ["Dy", "Pd", "Pd", "Sr"],
  "fractional_positions": [[0.5000, 0.5000, 0.5000], [0.7500, 0.7500, 0.7500], [0.2500, 0.2500, 0.2500], [0.0000, 0.0000, 0.0000]]
}


{
  "formula": "SrDy4Pd4",
  "functional": "PBE-GGA",
  "state": "relaxed",
  "sg": "No. 86",
  "lattice": [[-1.4422, 2.2948, -4.9676], [1.5737, -8.2335, -4.2603], [-8.9553, -2.4673, 1.4602]],
  "species": ["Dy", "Dy", "Dy", "Dy", "Dy", "Dy", "Dy", "Dy", "Pd", "Pd", "Pd", "Pd", "Pd", "Pd", "Pd", "Pd", "Sr", "Sr"],
  "fractional_positions": [[0.9153, 0.6062, 0.8427], [0.5847, 0.8938, 0.6573], [0.0847, 0.8427, 0.3938], [0.5847, 0.1062, 0.3427], [0.9153, 0.3938, 0.1573], [0.4153, 0.3427, 0.8938], [0.4153, 0.6573, 0.1062], [0.0847, 0.1573, 0.6062], [0.5842, 0.8058, 0.3585], [0.0842, 0.8585, 0.6942], [0.4158, 0.6415, 0.8058], [0.4158, 0.3585, 0.1942], [0.5842, 0.1942, 0.6415], [0.0842, 0.1415, 0.3058], [0.9158, 0.3058, 0.8585], [0.9158, 0.6942, 0.1415], [0.0000, 0.0000, 0.0000], [0.5000, 0.5000, 0.5000]]
}


{
  "formula": "SrDyZn2Pd5",
  "functional": "PBE-GGA",
  "state": "relaxed",
  "sg": "No. 123",
  "lattice": [[-2.6762, -3.7420, -0.8535], [0.9332, -1.6437, 4.2803], [-6.2563, 3.8279, 2.8340]],
  "species": ["Pd", "Pd", "Pd", "Pd", "Pd", "Zn", "Zn", "Dy", "Sr"],
  "fractional_positions": [[0.5000, 0.0000, 0.2493], [0.5000, 0.5000, 0.5000], [0.5000, 0.0000, 0.7507], [0.0000, 0.5000, 0.7507], [0.0000, 0.5000, 0.2493], [0.5000, 0.5000, 0.1548], [0.5000, 0.5000, 0.8452], [0.0000, 0.0000, 0.0000], [0.0000, 0.0000, 0.5000]]
}


| no. | calculated volume (Å³/f.u.) | DFT formation energy (meV/atom) |
| --- | --- | --- |
| 1 | 90 | -460 |
| 2 | 95 | -764 |
| 3 | 138 | -805 |
| 4 | 93 | -651 |
| 5 | 250 | -673 |
| 6 | 172 | -530 |